Below is a geometry-optimized Tm4Co2Rh structure, with properties calculated at the GGA-PBE level.

Cell and atoms, written as CIF:
```
data_Tm4Co2Rh
_chemical_formula_sum 'Tm8 Co4 Rh2'
_cell_length_a 10.461
_cell_length_b 4.169
_cell_length_c 8.345
_cell_angle_alpha 90.00
_cell_angle_beta 125.29
_cell_angle_gamma 90.00
_space_group_name_H-M_alt 'C 1 2/m 1'
_space_group_IT_number 12
loop_
_space_group_symop_operation_xyz
'x,y,z'
'-x,-y,-z'
'-x,y,-z'
'x,-y,z'
'x+1/2,y+1/2,z'
'-x+1/2,-y+1/2,-z'
'-x+1/2,y+1/2,-z'
'x+1/2,-y+1/2,z'
loop_
_atom_site_label
_atom_site_type_symbol
_atom_site_fract_x
_atom_site_fract_y
_atom_site_fract_z
Tm1 Tm 0.090 0.000 0.379
Tm2 Tm 0.199 0.500 0.106
Co1 Co 0.129 0.500 0.632
Rh1 Rh 0.000 0.000 0.000
```

Results
Energy relative to the lowest polymorph listed for this composition ... 0.000 eV/atom
Energy of formation from the pure elements ... -0.3949 eV/atom
Total moment ... 0.0 μB/f.u.
Crystal system ... monoclinic